No. 1
This record from Alexandria via LeMat-Bulk describes an optimized crystal structure of Ta2FeTc. The functional is PBE.

Geometry as POSCAR:
```
Ta2FeTc
1.0
-2.306 4.362 1.327
-2.266 -2.434 -3.878
-2.276 -0.989 1.274
Ta Fe Tc
2 1 1
Cartesian
0.000 0.000 0.000 Ta
-2.286 0.964 -1.276 Ta
-2.271 -1.711 -1.302 Fe
-2.291 1.686 1.300 Tc
```

---

No. 2
This record from Alexandria via LeMat-Bulk describes an optimized crystal structure of TaFeTc. The functional is PBE.

Geometry as POSCAR:
```
TaFeTc
1.0
-1.821 3.567 -1.775
-1.709 -1.755 3.632
1.597 1.566 1.508
Fe Tc Ta
1 1 1
Cartesian
1.596 1.566 1.508 Fe
-0.686 1.059 2.831 Tc
-1.247 2.319 0.534 Ta
```

---

Number 1: density 13.66 g/cm3, energy of formation from the pure elements -0.049 eV/atom, magnetic moment 1.8 μB/f.u.. Number 2: density 12.40 g/cm3, energy of formation from the pure elements -0.020 eV/atom, magnetic moment 2.6 μB/f.u..